# YTlZnCu PBE relaxed
data_YTlZnCu
_chemical_formula_sum 'Y1 Tl1 Zn1 Cu1'
_cell_length_a 4.814
_cell_length_b 4.814
_cell_length_c 4.814
_cell_angle_alpha 60.00
_cell_angle_beta 60.00
_cell_angle_gamma 60.00
_space_group_name_H-M_alt 'P 1'
_space_group_IT_number 1
loop_
_space_group_symop_operation_xyz
'x,y,z'
loop_
_atom_site_label
_atom_site_fract_x
_atom_site_fract_y
_atom_site_fract_z
Y1 0.000 0.000 0.000
Tl1 0.500 0.500 0.500
Zn1 0.250 0.250 0.250
Cu1 0.750 0.750 0.750
# * magnetization: 0.003 μB per formula unit
# * raw total energy: -14.49 eV per cell
# * excess energy over the best structure of this formula in the dataset: 0 meV per atom
# * space group: F-43m (216)